Entry 1:
DFT (PBE-GGA) results for CuTcRh after structural relaxation.

calculated formation energy: 0.0474 eV/atom

```
data_CuTcRh
_chemical_formula_sum 'Cu1 Tc1 Rh1'
_cell_length_a 5.829
_cell_length_b 5.829
_cell_length_c 5.829
_cell_angle_alpha 152.89
_cell_angle_beta 152.89
_cell_angle_gamma 38.72
_symmetry_space_group_name_H-M 'P 1'
_symmetry_Int_Tables_number 1
loop_
_symmetry_equiv_pos_as_xyz
'x,y,z'
loop_
_atom_site_label
_atom_site_type_symbol
_atom_site_fract_x
_atom_site_fract_y
_atom_site_fract_z
_atom_site_occupancy
Cu1 Cu 0.000 0.000 0.000 1
Tc1 Tc 0.332 0.332 0.000 1
Rh1 Rh 0.668 0.668 0.000 1
```


Entry 2:
DFT (PBE-GGA) results for Ru2RhBrF after structural relaxation.

formation energy (no corrections): 0.9243 eV per atom

```
data_Ru2RhBrF
_chemical_formula_sum 'Ru2 Rh1 Br1 F1'
_cell_length_a 4.930
_cell_length_b 4.930
_cell_length_c 4.037
_cell_angle_alpha 90.00
_cell_angle_beta 90.00
_cell_angle_gamma 90.00
_symmetry_space_group_name_H-M 'P 1'
_symmetry_Int_Tables_number 1
loop_
_symmetry_equiv_pos_as_xyz
'x,y,z'
loop_
_atom_site_label
_atom_site_type_symbol
_atom_site_fract_x
_atom_site_fract_y
_atom_site_fract_z
_atom_site_occupancy
Ru1 Ru 0.000 0.500 0.000 1
Ru2 Ru 0.500 0.000 0.000 1
Rh1 Rh 0.000 0.000 0.000 1
Br1 Br 0.500 0.500 0.500 1
F1 F 0.000 0.000 0.500 1
```


Entry 3:
DFT (PBE-GGA) results for KBe3Pd after structural relaxation.

calculated formation energy: 2.4646 eV/atom

```
data_KBe3Pd
_chemical_formula_sum 'K1 Be3 Pd1'
_cell_length_a 4.714
_cell_length_b 4.714
_cell_length_c 4.714
_cell_angle_alpha 90.00
_cell_angle_beta 90.00
_cell_angle_gamma 90.00
_symmetry_space_group_name_H-M 'P 1'
_symmetry_Int_Tables_number 1
loop_
_symmetry_equiv_pos_as_xyz
'x,y,z'
loop_
_atom_site_label
_atom_site_type_symbol
_atom_site_fract_x
_atom_site_fract_y
_atom_site_fract_z
_atom_site_occupancy
K1 K 0.000 0.000 0.000 1
Be1 Be 0.000 0.000 0.500 1
Be2 Be 0.000 0.500 0.000 1
Be3 Be 0.500 0.000 0.000 1
Pd1 Pd 0.500 0.500 0.500 1
```


no.,mass density (g cm⁻³),total magnetic moment (μB/cell)
1,10.7,0.00
2,6.8,5.31
3,2.7,0.00